# Ba3HgP3

A relaxed structure of Ba3HgP3 (PBE, Alexandria via LeMat-Bulk).

The structure in extended XYZ format:
```
28
Lattice="6.8424 0.0000 0.0000 -3.4212 10.0953 0.0000 0.0000 0.0000 13.3752" Properties=species:S:1:pos:R:3 pbc="T T T"
Ba 1.3289 6.5442 1.7618
P 1.9539 0.0000 5.2772
P 1.4526 3.2547 1.6184
Ba -1.3289 6.5442 11.6134
Ba -2.0922 6.5442 4.9258
Ba 2.0922 3.5511 11.6134
P 5.3751 0.0000 1.4104
P 5.3897 3.2547 11.7568
P 1.9686 6.8406 11.7568
Ba 4.6976 0.0000 11.4062
Ba 4.7501 3.5511 1.7618
P 1.4526 6.8406 5.0692
Hg 3.4212 8.3382 0.0000
Ba 2.1447 0.0000 1.9690
Ba 2.0922 6.5442 8.4494
Hg 0.0000 8.3382 6.6876
Ba 1.3289 3.5511 4.9258
Hg 0.0000 1.7571 0.0000
P 1.9686 3.2547 8.3060
Ba 1.2764 0.0000 8.6567
Ba 5.5134 3.5511 8.4494
Hg 3.4212 1.7571 6.6876
P 1.4673 0.0000 11.9648
P 4.8738 3.2547 5.0692
P -1.9686 6.8406 1.6184
Ba 5.5659 0.0000 4.7186
P -1.4526 6.8406 8.3060
P 4.8885 0.0000 8.0980
```

Output
E_form in kJ per mole of atoms: -69.86
VASP energy in eV/atom: -3.910